# Na2MgCd2In | Alexandria via LeMat-Bulk | GGA-PBE | relaxed
data_Na2MgCd2In
_chemical_formula_sum 'Na4 Mg2 Cd4 In2'
_cell_length_a 4.6226
_cell_length_b 9.8843
_cell_length_c 6.5006
_cell_angle_alpha 90.00
_cell_angle_beta 90.00
_cell_angle_gamma 90.00
_symmetry_space_group_name_H-M 'P m c 21'
_symmetry_Int_Tables_number 26
loop_
_symmetry_equiv_pos_as_xyz
'x,y,z'
'-x,-y,z+1/2'
'-x,y,z'
'x,-y,z+1/2'
loop_
_atom_site_label
_atom_site_fract_x
_atom_site_fract_y
_atom_site_fract_z
Na1 0.0000 0.0016 0.0000
Na2 0.5000 0.1742 0.2487
Mg1 0.5000 0.4918 0.7487
Cd1 0.0000 0.3455 0.0007
Cd2 0.5000 0.1812 0.7506
In1 0.0000 0.3434 0.5012
# - ΔH_f (0 K): -0.070 eV/atom
# - Total magnetic moment: 0.00 μB per cell